KInAg2: optimized geometry, GGA-PBE.

Values from the calculation:
energy of formation from the pure elements = 0.146 eV per atom
D(E_F) = 1.58 states/eV per cell

Cell and atoms, written as CIF:
```
data_KInAg2
_space_group_name_H-M_alt 'P -1'
_space_group_IT_number 2
_space_group_name_Hall '-P 1'
_cell_length_a 3.5364
_cell_length_b 5.2738
_cell_length_c 5.2990
_cell_angle_alpha 89.92
_cell_angle_beta 89.85
_cell_angle_gamma 89.87
loop_
_atom_site_label
_atom_site_fract_x
_atom_site_fract_y
_atom_site_fract_z
K1 0.0000 0.0000 0.0000
In1 0.0000 0.5000 0.5000
Ag1 0.5000 0.0000 0.5000
Ag2 0.5000 0.5000 0.0000
```

***

K4In5Ag3: optimized geometry, GGA-PBE.

Values from the calculation:
energy of formation from the pure elements = -0.021 eV per atom
D(E_F) = 12.61 states/eV per cell

Cell and atoms, written as CIF:
```
data_K4In5Ag3
_space_group_name_H-M_alt 'C 1 2/m 1'
_space_group_IT_number 12
_space_group_name_Hall '-C 2y'
_cell_length_a 15.5686
_cell_length_b 5.3758
_cell_length_c 11.8751
_cell_angle_alpha 90.00
_cell_angle_beta 124.95
_cell_angle_gamma 90.00
loop_
_atom_site_label
_atom_site_fract_x
_atom_site_fract_y
_atom_site_fract_z
K1 0.0385 0.0000 0.2200
K2 0.1934 0.5000 0.8275
In1 0.0000 0.0000 0.5000
In2 0.1120 0.5000 0.0768
In3 0.1811 0.5000 0.5005
Ag1 0.0000 0.5000 0.5000
Ag2 0.2253 0.0000 0.6446
```

***

K2In4Ag5: optimized geometry, GGA-PBE.

Values from the calculation:
energy of formation from the pure elements = -0.065 eV per atom
D(E_F) = 15.80 states/eV per cell

Cell and atoms, written as CIF:
```
data_K2In4Ag5
_space_group_name_H-M_alt 'F m m m'
_space_group_IT_number 69
_space_group_name_Hall '-F 2 2'
_cell_length_a 6.1806
_cell_length_b 10.5458
_cell_length_c 17.8749
_cell_angle_alpha 90.00
_cell_angle_beta 90.00
_cell_angle_gamma 90.00
loop_
_atom_site_label
_atom_site_fract_x
_atom_site_fract_y
_atom_site_fract_z
K1 0.0000 0.0000 0.1377
In1 0.0000 0.1610 0.3723
Ag1 0.0000 0.0000 0.5000
Ag2 0.2500 0.2500 0.0000
Ag3 0.2500 0.2500 0.2500
```

***

K2InAg: optimized geometry, GGA-PBE.

Values from the calculation:
energy of formation from the pure elements = 0.133 eV per atom
D(E_F) = 4.35 states/eV per cell

Cell and atoms, written as CIF:
```
data_K2InAg
_space_group_name_H-M_alt 'I m m m'
_space_group_IT_number 71
_space_group_name_Hall '-I 2 2'
_cell_length_a 4.9882
_cell_length_b 4.9986
_cell_length_c 10.9627
_cell_angle_alpha 90.00
_cell_angle_beta 90.00
_cell_angle_gamma 90.00
loop_
_atom_site_label
_atom_site_fract_x
_atom_site_fract_y
_atom_site_fract_z
K1 0.0000 0.0000 0.2495
In1 0.0000 0.5000 0.0000
Ag1 0.0000 0.5000 0.5000
```

***

KIn2Ag2: optimized geometry, GGA-PBE.

Values from the calculation:
energy of formation from the pure elements = -0.036 eV per atom
D(E_F) = 3.57 states/eV per cell
distance to the lowest polymorph of the same formula = 21.8 meV per atom

Cell and atoms, written as CIF:
```
data_KIn2Ag2
_space_group_name_H-M_alt 'P 4/m b m'
_space_group_IT_number 127
_space_group_name_Hall '-P 4 2ab'
_cell_length_a 9.0012
_cell_length_b 9.0012
_cell_length_c 2.9970
_cell_angle_alpha 90.00
_cell_angle_beta 90.00
_cell_angle_gamma 90.00
loop_
_atom_site_label
_atom_site_fract_x
_atom_site_fract_y
_atom_site_fract_z
K1 0.0000 0.0000 0.0000
In1 0.1388 0.3612 0.5000
Ag1 0.1544 0.6544 0.0000
```

***

KInAg2: optimized geometry, GGA-PBE.

Values from the calculation:
energy of formation from the pure elements = 0.185 eV per atom
D(E_F) = 7.45 states/eV per cell

Cell and atoms, written as CIF:
```
data_KInAg2
_space_group_name_H-M_alt 'F -4 3 m'
_space_group_IT_number 216
_space_group_name_Hall 'F -4 2 3'
_cell_length_a 7.3914
_cell_length_b 7.3914
_cell_length_c 7.3914
_cell_angle_alpha 90.00
_cell_angle_beta 90.00
_cell_angle_gamma 90.00
loop_
_atom_site_label
_atom_site_fract_x
_atom_site_fract_y
_atom_site_fract_z
K1 0.0000 0.0000 0.0000
In1 0.2500 0.2500 0.7500
Ag1 0.0000 0.0000 0.5000
Ag2 0.2500 0.2500 0.2500
```

***

- What is the formula in the sixth record?
  KInAg2

***

- What is the D(E_F) in the second record?
  12.61 states/eV per cell

***

- What is the energy of formation from the pure elements in the first record?
  0.146 eV per atom

***

- energy of formation from the pure elements of number 3 (K2In4Ag5)?
  -0.065 eV per atom